Entry 1:
AgIrAuC | PBE-GGA | optimized geometry

Cell: 3.2122 4.5609 5.5912 Å, 105.91 96.95 90.12°
Element x y z (fractional)
Ir (0.1285, 0.0998, 0.7656)
Ag (0.0445, 0.1505, 0.2875)
Au (0.6127, 0.5589, 0.6813)
C (0.6588, 0.0377, 0.9253)


Entry 2:
AgIrAuC | PBE-GGA | optimized geometry

Cell: 3.1298 4.8359 4.9270 Å, 112.31 111.04 88.30°
Element x y z (fractional)
Ag (0.8356, 0.0200, 0.3143)
C (0.9956, 0.8522, 0.7077)
Au (0.1342, 0.3268, 0.9914)
Ir (0.4714, 0.6137, 0.6463)


Entry 3:
AgIrAuC | PBE-GGA | optimized geometry

Cell: 4.5464 3.1599 10.3920 Å, 90.00 90.00 90.00°
Element x y z (fractional)
Ir (0.0000, 0.5000, 0.9120)
Ir (0.0000, 0.0000, 0.4120)
Au (0.5000, 0.0000, 0.9610)
Au (0.5000, 0.5000, 0.4610)
Ag (0.0000, 0.0000, 0.1442)
Ag (0.0000, 0.5000, 0.6442)
C (0.0000, 0.0000, 0.8126)
C (0.0000, 0.5000, 0.3126)


The records above give, respectively, polymorph energy (0 for the lowest one) values of 244; 188; 203 meV per atom.
The records above give, respectively, total energy values of -5.36; -5.42; -5.40 eV per atom.